Na2NpSbSe4 | GGA-PBE | relaxed

abc: 7.3080 4.2165 7.3857
angles: 90.00 109.32 90.00
Last column: nearest neighbours and their distance in Å.
Sites, in units of the cell vectors:
Na (0.0000, 0.0000, 0.0000)  6 Se 3.07-3.08
Na (0.5000, 0.5000, 0.0000)  6 Se 3.07
Np (0.0000, 0.5000, 0.5000)  6 Se 2.92-2.93
Sb (0.5000, 0.0000, 0.5000)  6 Se 2.92
Se (0.2435, 0.0000, 0.7303)  2 Np 2.92, 1 Sb 2.92, 3 Na 3.07-3.08
Se (0.2562, 0.5000, 0.2682)  2 Sb 2.92, 1 Np 2.93, 3 Na 3.07
Se (0.7438, 0.5000, 0.7318)  2 Sb 2.92, 1 Np 2.93, 3 Na 3.07
Se (0.7565, 0.0000, 0.2697)  2 Np 2.92, 1 Sb 2.92, 3 Na 3.07-3.08

Results
N(E_F)	1.141	states/eV per atom
raw formation energy	-0.91	eV/atom
SG	P2/m
raw total energy	-5.112	eV per atom